Ce2HgO | PBE-GGA | optimized geometry

* raw formation energy: -1.17 eV per atom
* total moment: 1.8 Bohr magnetons per cell
* DOS at the Fermi energy: 8.80 states/eV/f.u.
* offset from the most stable computed form: 282 meV per atom

Cell: 3.129 3.129 8.051 Å, 90.00 90.00 90.00°
Site moments in Bohr magnetons follow the coordinates.
Atoms (fractional coordinates):
O1 0.500 0.500 0.000  -0.02
Hg1 0.500 0.500 0.500  -0.01
Ce1 0.000 0.000 0.809  0.76
Ce2 0.000 0.000 0.191  0.76



Rb2NpGeSe5 | PBE-GGA | optimized geometry

* raw formation energy: -0.88 eV per atom
* total moment: 5.4 Bohr magnetons per cell
* DOS at the Fermi energy: 9.10 states/eV/f.u.

Cell: 4.254 10.269 14.685 Å, 90.00 90.00 101.96°
Site moments in Bohr magnetons follow the coordinates.
Atoms (fractional coordinates):
Rb1 0.873 0.747 0.831  0.00
Rb2 0.127 0.254 0.687  0.00
Rb3 0.127 0.253 0.331  0.00
Rb4 0.873 0.746 0.187  0.00
Np1 0.802 0.603 0.531  3.21
Np2 0.198 0.397 0.031  3.21
Ge1 0.563 0.126 0.919  0.03
Ge2 0.437 0.874 0.419  0.03
Se1 0.327 0.655 0.009  -0.17
Se2 0.684 0.369 0.895  -0.07
Se3 0.506 0.013 0.783  0.01
Se4 0.307 0.614 0.653  -0.13
Se5 0.949 0.897 0.516  -0.04
Se6 0.673 0.345 0.509  -0.17
Se7 0.316 0.631 0.395  -0.07
Se8 0.494 0.987 0.283  0.01
Se9 0.693 0.386 0.153  -0.13
Se10 0.051 0.103 0.016  -0.04



SnGeAu2 | PBE-GGA | optimized geometry

* total moment: 0.0 Bohr magnetons per cell
* DOS at the Fermi energy: 1.14 states/eV/f.u.
* offset from the most stable computed form: 0 meV per atom
* formation enthalpy at 0 K: -0.037 eV/atom

Cell: 3.895 3.895 6.946 Å, 91.11 105.71 118.85°
Atoms (fractional coordinates):
Sn1 0.000 0.500 0.500
Ge1 0.000 0.000 0.000
Au1 0.516 0.259 0.774
Au2 0.484 0.741 0.226



InMoCl | PBE-GGA | optimized geometry

* raw formation energy: 0.24 eV per atom
* total moment: 0.0 Bohr magnetons per cell
* DOS at the Fermi energy: 0.55 states/eV/f.u.
* offset from the most stable computed form: 181 meV per atom

Cell: 7.788 7.788 7.788 Å, 158.11 158.11 31.15°
Atoms (fractional coordinates):
Cl1 0.050 0.050 0.000
In1 0.300 0.300 0.000
Mo1 0.651 0.651 0.000